# K2NiAu2O6, relaxed, DFT PBE with a Hubbard U
# Density of states at the Fermi level ... 0.58 states/eV/atom
# Volume ... 16.64 Å³ per atom
# Energy ... -0.30446 Ry/atom
# Crystal system ... trigonal
data_K2NiAu2O6
_chemical_formula_sum 'K6 Ni3 Au6 O18'
_cell_length_a 5.9475
_cell_length_b 5.9475
_cell_length_c 17.9211
_cell_angle_alpha 90.00
_cell_angle_beta 90.00
_cell_angle_gamma 120.00
_space_group_name_H-M_alt 'R -3 m'
_space_group_IT_number 166
_space_group_name_Hall '-R 3 2"'
loop_
_atom_site_label
_atom_site_type_symbol
_atom_site_fract_x
_atom_site_fract_y
_atom_site_fract_z
K1 K 0.0000 0.0000 0.2076
Ni1 Ni 0.0000 0.0000 0.0000
Au1 Au 0.0000 0.0000 0.4036
O1 O 0.0428 0.5214 0.7432